! TaVNi6 (PBE, relaxed); values from VASP
! Calculated formation energy = 0.346 eV/atom
! Density of states at the Fermi level = 0.93 states/eV per atom
! Energy = -52.89 eV per cell
&SYSTEM
  ibrav = 0, nat = 8, ntyp = 3
/
ATOMIC_SPECIES
Ni 58.69 Ni.upf
V 50.94 V.upf
Ta 180.95 Ta.upf
ATOMIC_POSITIONS crystal
Ni 0.848 0.848 0.469
Ni 0.469 0.848 0.848
Ni 0.848 0.469 0.848
Ni 0.531 0.152 0.152
Ni 0.152 0.531 0.152
Ni 0.152 0.152 0.531
V 0.000 0.000 0.000
Ta 0.500 0.500 0.500
CELL_PARAMETERS angstrom
4.721 0.608 0.688
0.089 4.759 0.688
0.089 0.099 4.808